Computed, not measured: crystalline CsTlSn2 at its relaxed geometry at the GGA-PBE level of DFT.

Structure (CIF):
```
data_CsTlSn2
_symmetry_space_group_name_H-M 'R -3 m'
_symmetry_Int_Tables_number 166
_symmetry_space_group_name_Hall '-R 3 2"'
_cell_length_a 5.3848
_cell_length_b 5.3848
_cell_length_c 21.0864
_cell_angle_alpha 90.00
_cell_angle_beta 90.00
_cell_angle_gamma 120.00
loop_
_atom_site_label
_atom_site_fract_x
_atom_site_fract_y
_atom_site_fract_z
_atom_site_occupancy
Cs1 0.0000 0.0000 0.0000 1
Tl1 0.0000 0.0000 0.5000 1
Sn1 0.0000 0.0000 0.1958 1
```

- offset from the most stable computed form (kcal/mol of atoms) = 0.00
- calculated formation energy (eV per atom) = -0.011

Computed, not measured: crystalline Cs2TlSn2 at its relaxed geometry at the GGA-PBE level of DFT.

Structure (CIF):
```
data_Cs2TlSn2
_symmetry_space_group_name_H-M 'I 4/m m m'
_symmetry_Int_Tables_number 139
_symmetry_space_group_name_Hall '-I 4 2'
_cell_length_a 5.820
_cell_length_b 5.820
_cell_length_c 15.227
_cell_angle_alpha 90.00
_cell_angle_beta 90.00
_cell_angle_gamma 90.00
loop_
_atom_site_label
_atom_site_fract_x
_atom_site_fract_y
_atom_site_fract_z
_atom_site_occupancy
Cs1 0.000 0.500 0.250 1
Tl1 0.000 0.000 0.000 1
Sn1 0.000 0.000 0.414 1
```

- offset from the most stable computed form (kcal/mol of atoms) = 5.07
- calculated formation energy (eV per atom) = 0.116

Computed, not measured: crystalline CsTl8Sn2 at its relaxed geometry at the GGA-PBE level of DFT.

Structure (CIF):
```
data_CsTl8Sn2
_symmetry_space_group_name_H-M 'C 1 2/m 1'
_symmetry_Int_Tables_number 12
_cell_length_a 9.482
_cell_length_b 13.814
_cell_length_c 6.337
_cell_angle_alpha 90.00
_cell_angle_beta 107.22
_cell_angle_gamma 90.00
loop_
_symmetry_equiv_pos_as_xyz
'x,y,z'
'-x,-y,-z'
'-x,y,-z'
'x,-y,z'
'x+1/2,y+1/2,z'
'-x+1/2,-y+1/2,-z'
'-x+1/2,y+1/2,-z'
'x+1/2,-y+1/2,z'
loop_
_atom_site_label
_atom_site_fract_x
_atom_site_fract_y
_atom_site_fract_z
_atom_site_occupancy
Cs1 0.000 0.000 0.000 1
Tl1 0.000 0.274 0.000 1
Tl2 0.086 0.500 0.810 1
Tl3 0.206 0.125 0.614 1
Sn1 0.000 0.316 0.500 1
```

- calculated formation energy (eV per atom) = 0.045